Entry from Alexandria: crystalline Mg2NpFeO6 at its relaxed geometry (PBE+U).

Lattice parameters (Å, degrees): 5.325 5.363 5.679 90.84 116.97 119.72
Atoms (fractional coordinates):
Mg1 0.000 0.000 0.000
Mg2 0.024 0.511 0.524
Np1 0.606 0.304 0.905
Fe1 0.597 0.801 0.387
O1 0.083 0.393 0.182
O2 0.118 0.210 0.697
O3 0.488 0.100 0.179
O4 0.498 0.904 0.689
O5 0.794 0.701 0.190
O6 0.795 0.585 0.698

Properties
calculated volume = 119 Å³/cell
crystal system = triclinic
E = -76.2 eV/cell